1.
{
  "formula": "RbTaAgTe3",
  "functional": "PBE",
  "state": "relaxed",
  "lattice_angstrom": [[2.025, -8.330, 0.000], [2.025, 8.330, 0.000], [0.000, 0.000, 10.971]],
  "species": ["Rb", "Rb", "Ta", "Ta", "Ag", "Ag", "Te", "Te", "Te", "Te", "Te", "Te"],
  "fractional_positions": [[0.241, 0.759, 0.750], [0.759, 0.241, 0.250], [0.000, 0.000, 0.000], [0.000, 0.000, 0.500], [0.456, 0.544, 0.250], [0.544, 0.456, 0.750], [0.069, 0.931, 0.250], [0.380, 0.620, 0.031], [0.380, 0.620, 0.469], [0.620, 0.380, 0.531], [0.620, 0.380, 0.969], [0.931, 0.069, 0.750]],
  "magnetic_moment_mub_per_fu": 0.7,
  "space_group": "Cmcm",
  "e_tot_ev_per_atom": -4.521
}

2.
{
  "formula": "Rb2AgTe2",
  "functional": "PBE",
  "state": "relaxed",
  "lattice_angstrom": [[13.021, 0.000, 0.000], [0.000, 4.260, 0.000], [-1.504, 0.000, 7.228]],
  "species": ["Rb", "Rb", "Rb", "Rb", "Ag", "Ag", "Te", "Te", "Te", "Te"],
  "fractional_positions": [[0.156, 0.000, 0.217], [0.344, 0.500, 0.783], [0.656, 0.500, 0.217], [0.844, 0.000, 0.783], [0.000, 0.500, 0.500], [0.500, 0.000, 0.500], [0.111, 0.000, 0.707], [0.389, 0.500, 0.293], [0.611, 0.500, 0.707], [0.889, 0.000, 0.293]],
  "space_group": "C2/m",
  "e_tot_ev_per_atom": -2.834
}

3.
{
  "formula": "RbTmAgTe3",
  "functional": "PBE",
  "state": "relaxed",
  "lattice_angstrom": [[2.130, -8.483, 0.000], [2.130, 8.483, 0.000], [0.000, 0.000, 11.287]],
  "species": ["Rb", "Rb", "Tm", "Tm", "Ag", "Ag", "Te", "Te", "Te", "Te", "Te", "Te"],
  "fractional_positions": [[0.245, 0.755, 0.750], [0.755, 0.245, 0.250], [0.000, 0.000, 0.000], [0.000, 0.000, 0.500], [0.464, 0.536, 0.250], [0.536, 0.464, 0.750], [0.074, 0.926, 0.250], [0.374, 0.626, 0.044], [0.374, 0.626, 0.456], [0.626, 0.374, 0.544], [0.626, 0.374, 0.956], [0.926, 0.074, 0.750]],
  "magnetic_moment_mub_per_fu": 0.0,
  "space_group": "Cmcm",
  "e_tot_ev_per_atom": -3.845
}

4.
{
  "formula": "RbYAgTe3",
  "functional": "PBE",
  "state": "relaxed",
  "lattice_angstrom": [[2.143, -8.467, 0.000], [2.143, 8.467, 0.000], [0.000, 0.000, 11.388]],
  "species": ["Rb", "Rb", "Y", "Y", "Ag", "Ag", "Te", "Te", "Te", "Te", "Te", "Te"],
  "fractional_positions": [[0.246, 0.754, 0.750], [0.754, 0.246, 0.250], [0.000, 0.000, 0.000], [0.000, 0.000, 0.500], [0.464, 0.536, 0.250], [0.536, 0.464, 0.750], [0.074, 0.926, 0.250], [0.373, 0.627, 0.047], [0.373, 0.627, 0.453], [0.627, 0.373, 0.547], [0.627, 0.373, 0.953], [0.926, 0.074, 0.750]],
  "magnetic_moment_mub_per_fu": 0.0,
  "space_group": "Cmcm",
  "e_tot_ev_per_atom": -4.202
}